--- 1 ---
Below is a geometry-optimized DyPaMn2 structure, with properties calculated at the PBE level.

It has space group R-3m (No. 166, hexagonal axes), with a = 4.3213 Å, b = 4.3213 Å, c = 14.7834 Å, α = 90.00°, β = 90.00° and γ = 120.00°. The distinct sites, in fractional coordinates, are Dy at (0.0000, 0.0000, 0.0000), Pa at (0.0000, 0.0000, 0.5000) and Mn at (0.0000, 0.0000, 0.2052).

=====

--- 2 ---
Below is a geometry-optimized DyPaMn2 structure, with properties calculated at the PBE level.

It has space group P4/mmm (No. 123), with a = 3.363 Å, b = 3.363 Å, c = 6.925 Å, α = 90.00°, β = 90.00° and γ = 90.00°. The distinct sites, in fractional coordinates, are Dy at (0.000, 0.000, 0.000), Pa at (0.000, 0.000, 0.500) and Mn at (0.500, 0.500, 0.297).

=====

Stability, highest: 1